(1)
Material: LiCeSn2
Method: DFT, PBE
State: relaxed

Structure (CIF):
```
data_LiCeSn2
_cell_length_a 9.797
_cell_length_b 9.797
_cell_length_c 4.583
_cell_angle_alpha 90.00
_cell_angle_beta 90.00
_cell_angle_gamma 153.56
_space_group_name_H-M_alt 'P 1'
_space_group_IT_number 1
loop_
_space_group_symop_operation_xyz
'x,y,z'
loop_
_atom_site_label
_atom_site_fract_x
_atom_site_fract_y
_atom_site_fract_z
_atom_site_occupancy
Li1 0.675 0.325 0.250 1
Li2 0.325 0.675 0.750 1
Ce1 0.106 0.894 0.750 1
Ce2 0.894 0.106 0.250 1
Sn1 0.749 0.251 0.750 1
Sn2 0.251 0.749 0.250 1
Sn3 0.544 0.456 0.250 1
Sn4 0.456 0.544 0.750 1
```

Results
- Volume: 24.49 Å³/atom
- E above lowest polymorph: 35 meV per atom



(2)
Material: LiCeSn3
Method: DFT, PBE
State: relaxed

Structure (CIF):
```
data_LiCeSn3
_cell_length_a 6.243
_cell_length_b 6.842
_cell_length_c 6.842
_cell_angle_alpha 119.99
_cell_angle_beta 90.00
_cell_angle_gamma 90.00
_space_group_name_H-M_alt 'P 1'
_space_group_IT_number 1
loop_
_space_group_symop_operation_xyz
'x,y,z'
loop_
_atom_site_label
_atom_site_fract_x
_atom_site_fract_y
_atom_site_fract_z
_atom_site_occupancy
Li1 0.000 0.000 0.000 1
Li2 0.500 0.000 0.000 1
Ce1 0.250 0.333 0.667 1
Ce2 0.750 0.667 0.333 1
Sn1 0.250 0.809 0.191 1
Sn2 0.750 0.191 0.809 1
Sn3 0.250 0.809 0.619 1
Sn4 0.750 0.191 0.381 1
Sn5 0.250 0.381 0.191 1
Sn6 0.750 0.619 0.809 1
```

Results
- DFT total energy: -43.5 eV for the cell shown
- Volume: 25.31 Å³/atom